Density functional theory data (GGA-PBE) for an optimized crystal structure of Ce3AsRh.

```
10
Lattice="-0.065 0.357 5.319 -5.347 -4.376 -2.443 8.052 -2.716 0.293" Properties=species:S:1:pos:R:3 pbc="T T T"
Ce 3.418 -3.342 0.273
Ce 5.162 -3.007 2.944
Ce 0.991 -1.508 0.120
Ce -0.777 -3.393 2.897
Ce 1.650 -5.227 3.049
Ce -2.521 -3.728 0.225
As 0.461 -4.488 0.313
As 2.180 -2.247 2.856
Rh 6.304 -3.798 0.340
Rh -3.663 -2.937 2.829
```

E = -0.4894 Ry per atom
Energy of formation = -0.698 eV per atom
Crystal system = triclinic
Fermi-level density of states = 2.7544 states/eV per atom